Material: KCr2F
Method: DFT, PBE with a Hubbard U
State: optimized geometry

Unit cell a=7.0745 b=7.0745 c=7.0755 alpha=60.00 beta=60.00 gamma=90.00
Last column: magnetic moment on the atom in μB.
Fractional positions:
Cr (0.3750, 0.1250, 0.2500)  4.29
Cr (0.3750, 0.6250, 0.2500)  4.35
Cr (0.3750, 0.6250, 0.7500)  4.34
Cr (0.8750, 0.6250, 0.7500)  4.14
K (0.0000, 0.0000, 0.0000)  -0.02
K (0.7500, 0.2500, 0.5000)  -0.02
F (0.5000, 0.5000, 0.0000)  -0.04
F (0.2500, 0.7500, 0.5000)  -0.04

- VASP energy: -37.719 eV/cell
- Energy above the most stable polymorph in this dataset: 0 meV/atom
- V: 31.304 Å³ per atom